# AgSb2Rh, optimized geometry, DFT GGA-PBE
# M_tot	0.000	μB/f.u.
# E_form (uncorrected)	-45.0	meV/atom
# polymorph energy (0 for the lowest one)	42	meV/atom
data_AgSb2Rh
_cell_length_a 8.228
_cell_length_b 3.387
_cell_length_c 6.285
_cell_angle_alpha 90.00
_cell_angle_beta 102.96
_cell_angle_gamma 90.00
_space_group_name_H-M_alt 'C 1 2/m 1'
_space_group_IT_number 12
loop_
_space_group_symop_operation_xyz
'x,y,z'
'-x,-y,-z'
'-x,y,-z'
'x,-y,z'
'x+1/2,y+1/2,z'
'-x+1/2,-y+1/2,-z'
'-x+1/2,y+1/2,-z'
'x+1/2,-y+1/2,z'
loop_
_atom_site_label
_atom_site_fract_x
_atom_site_fract_y
_atom_site_fract_z
Ag1 0.000 0.000 0.000
Sb1 0.238 0.000 0.719
Rh1 0.000 0.500 0.500

# AgSb2Rh2, optimized geometry, DFT GGA-PBE
# M_tot	0.000	μB/f.u.
# E_form (uncorrected)	-193.5	meV/atom
# polymorph energy (0 for the lowest one)	0	meV/atom
data_AgSb2Rh2
_cell_length_a 7.500
_cell_length_b 7.500
_cell_length_c 3.331
_cell_angle_alpha 90.00
_cell_angle_beta 90.00
_cell_angle_gamma 90.00
_space_group_name_H-M_alt 'P 4/m b m'
_space_group_IT_number 127
_space_group_name_Hall '-P 4 2ab'
loop_
_atom_site_label
_atom_site_fract_x
_atom_site_fract_y
_atom_site_fract_z
Ag1 0.000 0.000 0.000
Sb1 0.158 0.342 0.500
Rh1 0.138 0.638 0.000

# AgSb2Rh, optimized geometry, DFT GGA-PBE
# M_tot	0.000	μB/f.u.
# E_form (uncorrected)	-22.4	meV/atom
# polymorph energy (0 for the lowest one)	64	meV/atom
data_AgSb2Rh
_cell_length_a 3.216
_cell_length_b 3.216
_cell_length_c 8.276
_cell_angle_alpha 90.00
_cell_angle_beta 90.00
_cell_angle_gamma 90.00
_space_group_name_H-M_alt 'P 4 m m'
_space_group_IT_number 99
loop_
_space_group_symop_operation_xyz
'x,y,z'
'-y,x,z'
'-x,-y,z'
'y,-x,z'
'-x,y,z'
'y,x,z'
'x,-y,z'
'-y,-x,z'
loop_
_atom_site_label
_atom_site_fract_x
_atom_site_fract_y
_atom_site_fract_z
Ag1 0.000 0.000 0.000
Sb1 0.000 0.000 0.399
Sb2 0.500 0.500 0.756
Rh1 0.500 0.500 0.226